[1]
A relaxed structure of Zr4CuNi, computed with PBE.

a = 5.587 Å, b = 5.587 Å, c = 5.587 Å
α = 60.00°, β = 60.00°, γ = 60.00°
Fractional positions:
Zr  0.125  0.125  0.125
Zr  0.125  0.125  0.624
Zr  0.125  0.624  0.125
Zr  0.624  0.125  0.125
Cu  0.750  0.750  0.750
Ni  0.500  0.500  0.500

theoretical density	6.56	g/cm3
polymorph energy (0 for the lowest one)	855	meV/atom
magnetic moment	0.0	μB/cell
space-group type	F-43m
ΔH_f (0 K)	0.632	eV per atom

=====

[2]
A relaxed structure of Zr2CuNi, computed with PBE.

a = 3.317 Å, b = 4.146 Å, c = 5.240 Å
α = 90.00°, β = 105.68°, γ = 90.00°
Fractional positions:
Zr  0.000  0.000  0.000
Zr  0.269  0.500  0.575
Cu  0.566  0.500  0.136
Ni  0.708  0.000  0.443

theoretical density	7.29	g/cm3
magnetic moment	0.0	μB/cell
space-group type	Pm
ΔH_f (0 K)	-0.271	eV per atom

=====

[3]
A relaxed structure of Zr2CuNi, computed with PBE.

a = 3.221 Å, b = 3.221 Å, c = 6.556 Å
α = 90.00°, β = 90.00°, γ = 91.31°
Fractional positions:
Zr  0.000  0.000  0.243
Zr  0.000  0.000  0.757
Cu  0.500  0.500  0.500
Ni  0.500  0.500  0.000

theoretical density	7.44	g/cm3
magnetic moment	0.0	μB/cell
space-group type	Cmmm
ΔH_f (0 K)	-0.227	eV per atom

=====

[4]
A relaxed structure of Zr4CuNi, computed with PBE.

a = 5.345 Å, b = 5.345 Å, c = 5.345 Å
α = 103.66°, β = 103.66°, γ = 121.85°
Fractional positions:
Zr  0.090  0.590  0.179
Zr  0.410  0.910  0.821
Zr  0.590  0.410  0.500
Zr  0.910  0.090  0.500
Cu  0.500  0.500  0.000
Ni  0.000  0.000  0.000

theoretical density	7.13	g/cm3
polymorph energy (0 for the lowest one)	10	meV/atom
magnetic moment	0.0	μB/cell
space-group type	I422
ΔH_f (0 K)	-0.213	eV per atom

=====

[5]
A relaxed structure of Zr4CuNi, computed with PBE.

a = 6.621 Å, b = 6.621 Å, c = 5.179 Å
α = 90.00°, β = 90.00°, γ = 90.00°
Fractional positions:
Zr  0.156  0.335  0.000
Zr  0.156  0.665  0.500
Zr  0.335  0.156  0.500
Zr  0.335  0.844  0.000
Zr  0.665  0.156  0.000
Zr  0.665  0.844  0.500
Zr  0.844  0.335  0.500
Zr  0.844  0.665  0.000
Cu  0.500  0.500  0.250
Cu  0.500  0.500  0.750
Ni  0.000  0.000  0.250
Ni  0.000  0.000  0.750

theoretical density	7.13	g/cm3
polymorph energy (0 for the lowest one)	0	meV/atom
magnetic moment	0.0	μB/cell
space-group type	P4/mcc
ΔH_f (0 K)	-0.223	eV per atom

=====

[6]
A relaxed structure of ZrCu2Ni2, computed with PBE.

a = 9.047 Å, b = 8.343 Å, c = 4.716 Å
α = 82.70°, β = 66.17°, γ = 31.14°
Fractional positions:
Zr  0.125  0.125  0.125
Zr  0.875  0.875  0.875
Cu  0.252  0.252  0.498
Cu  0.498  0.498  0.252
Cu  0.502  0.502  0.748
Cu  0.748  0.748  0.502
Ni  0.203  0.547  0.203
Ni  0.453  0.797  0.453
Ni  0.547  0.203  0.547
Ni  0.797  0.453  0.797

theoretical density	7.47	g/cm3
polymorph energy (0 for the lowest one)	119	meV/atom
magnetic moment	0.0	μB/cell
space-group type	Fddd
ΔH_f (0 K)	-0.028	eV per atom

=====

[7]
A relaxed structure of ZrCu2Ni2, computed with PBE.

a = 6.261 Å, b = 6.261 Å, c = 6.261 Å
α = 147.57°, β = 147.57°, γ = 46.52°
Fractional positions:
Zr  0.000  0.000  0.000
Cu  0.250  0.750  0.500
Cu  0.750  0.250  0.500
Ni  0.398  0.398  0.000
Ni  0.602  0.602  0.000

theoretical density	7.92	g/cm3
polymorph energy (0 for the lowest one)	0	meV/atom
magnetic moment	0.0	μB/cell
space-group type	I4/mmm
ΔH_f (0 K)	-0.146	eV per atom

=====

[8]
A relaxed structure of Zr2CuNi5, computed with PBE.

a = 5.290 Å, b = 5.290 Å, c = 5.290 Å
α = 116.93°, β = 116.93°, γ = 95.41°
Fractional positions:
Zr  0.000  0.500  0.500
Zr  0.500  0.000  0.500
Cu  0.499  0.499  0.000
Ni  0.001  0.001  0.000
Ni  0.501  0.501  0.501
Ni  0.501  0.999  0.000
Ni  0.999  0.501  0.000
Ni  0.999  0.999  0.499

theoretical density	8.22	g/cm3
magnetic moment	0.0	μB/cell
space-group type	I4mm
ΔH_f (0 K)	-0.285	eV per atom

=====

[9]
A relaxed structure of Zr2CuNi, computed with PBE.

a = 7.450 Å, b = 7.450 Å, c = 7.450 Å
α = 26.94°, β = 26.94°, γ = 26.94°
Fractional positions:
Zr  0.244  0.244  0.244
Zr  0.756  0.756  0.756
Cu  0.000  0.000  0.000
Ni  0.500  0.500  0.500

theoretical density	6.76	g/cm3
magnetic moment	0.0	μB/cell
space-group type	R-3m
ΔH_f (0 K)	0.030	eV per atom

=====

[10]
A relaxed structure of Zr2CuNi9, computed with PBE.

a = 8.316 Å, b = 8.316 Å, c = 8.316 Å
α = 33.65°, β = 33.65°, γ = 33.65°
Fractional positions:
Zr  0.134  0.134  0.134
Zr  0.866  0.866  0.866
Cu  0.000  0.000  0.000
Ni  0.080  0.586  0.586
Ni  0.334  0.334  0.334
Ni  0.414  0.414  0.920
Ni  0.414  0.920  0.414
Ni  0.500  0.500  0.500
Ni  0.586  0.080  0.586
Ni  0.586  0.586  0.080
Ni  0.666  0.666  0.666
Ni  0.920  0.414  0.414

theoretical density	8.17	g/cm3
polymorph energy (0 for the lowest one)	85	meV/atom
magnetic moment	1.5	μB/cell
space-group type	R-3m
ΔH_f (0 K)	-0.176	eV per atom

=====

[11]
A relaxed structure of Zr2Cu5Ni4, computed with PBE.

a = 9.012 Å, b = 8.414 Å, c = 4.688 Å
α = 81.58°, β = 67.45°, γ = 30.97°
Fractional positions:
Zr  0.130  0.130  0.870
Zr  0.870  0.870  0.130
Cu  0.000  0.000  0.500
Cu  0.250  0.250  0.250
Cu  0.500  0.500  0.000
Cu  0.500  0.500  0.500
Cu  0.750  0.750  0.750
Ni  0.210  0.535  0.465
Ni  0.465  0.790  0.210
Ni  0.535  0.210  0.790
Ni  0.790  0.465  0.535

theoretical density	7.82	g/cm3
magnetic moment	0.0	μB/cell
space-group type	Fmmm
ΔH_f (0 K)	-0.101	eV per atom

=====

[12]
A relaxed structure of ZrCuNi3, computed with PBE.

a = 4.272 Å, b = 4.272 Å, c = 4.272 Å
α = 90.00°, β = 90.00°, γ = 90.00°
Fractional positions:
Zr  0.000  0.000  0.000
Cu  0.500  0.500  0.500
Ni  0.000  0.500  0.500
Ni  0.500  0.000  0.500
Ni  0.500  0.500  0.000

theoretical density	7.04	g/cm3
polymorph energy (0 for the lowest one)	593	meV/atom
magnetic moment	0.0	μB/cell
space-group type	Pm-3m
ΔH_f (0 K)	0.539	eV per atom

=====

> The lowest theoretical density belongs to which entry?

number 1

=====

> What is the magnetic moment in the second record?

0.0 μB/cell

=====

Repeat the seventh record exactly.
A relaxed structure of ZrCu2Ni2, computed with PBE.

a = 6.261 Å, b = 6.261 Å, c = 6.261 Å
α = 147.57°, β = 147.57°, γ = 46.52°
Fractional positions:
Zr  0.000  0.000  0.000
Cu  0.250  0.750  0.500
Cu  0.750  0.250  0.500
Ni  0.398  0.398  0.000
Ni  0.602  0.602  0.000

theoretical density	7.92	g/cm3
polymorph energy (0 for the lowest one)	0	meV/atom
magnetic moment	0.0	μB/cell
space-group type	I4/mmm
ΔH_f (0 K)	-0.146	eV per atom

=====

> Which of these has the highest theoretical density?

Zr2CuNi5